Entry 1:
## Al5Ru (GGA-PBE)

Data for Al5Ru after structural relaxation.

Values from the calculation:
Its formation energy from the elements is -126 kJ/mol of formula units. The value obtained for the total DFT energy (no corrections) is -29.3 eV per cell. The symmetry is Cmmm.

Structure (POSCAR):
```
Al5Ru
1.0
-3.841 0.442 0.250
-0.502 -2.893 -2.591
0.084 -2.532 5.772
Ru Al
1 5
direct
0.000 0.000 0.000
0.000 0.658 0.316
0.000 0.342 0.684
0.500 0.500 0.000
0.500 0.161 0.323
0.500 0.839 0.677
```



Entry 2:
## Al5Ru3 (GGA-PBE)

Data for Al5Ru3 after structural relaxation.

Values from the calculation:
Its formation energy from the elements is -317 kJ/mol of formula units. The excess energy over the best structure of this formula in the dataset is 189.8 meV/atom. The value obtained for the total DFT energy (no corrections) is -99.7 eV per cell. The symmetry is C2.

Structure (POSCAR):
```
Al5Ru3
1.0
-2.107 6.822 -1.581
-0.298 -6.774 -2.739
-4.741 -1.093 5.428
Ru Al
6 10
direct
0.749 0.751 0.000
0.251 0.249 0.000
0.326 0.173 0.500
0.673 0.827 0.500
0.171 0.672 0.846
0.828 0.328 0.154
0.250 0.750 0.500
0.749 0.250 0.500
0.770 0.073 0.841
0.230 0.927 0.159
0.730 0.571 0.303
0.269 0.429 0.698
0.572 0.270 0.841
0.427 0.730 0.159
0.070 0.231 0.302
0.929 0.769 0.697
```